Model 1:
DFT (GGA-PBE) results for an optimized crystal structure of Ce5Ru2Au2.

Structure (POSCAR):
```
Ce5Ru2Au2
1.0
6.599 0.000 0.000
0.000 7.224 0.000
-3.299 -3.612 9.268
Ce Ru Au
10 4 4
direct
0.261 0.635 0.853
0.739 0.782 0.147
0.092 0.135 0.853
0.908 0.282 0.147
0.323 0.024 0.342
0.677 0.682 0.658
0.519 0.524 0.342
0.481 0.182 0.658
0.097 0.741 0.500
0.903 0.241 0.500
0.000 0.944 0.000
0.500 0.444 0.000
0.243 0.422 0.500
0.757 0.922 0.500
0.176 0.618 0.130
0.824 0.488 0.870
0.454 0.118 0.130
0.546 0.988 0.870
```

Properties
* volume: 24.55 A^3/atom
* DOS(E_F): 39.9 states/eV per cell

---

Model 2:
DFT (GGA-PBE) results for an optimized crystal structure of Ce5Ru2Au2.

Structure (POSCAR):
```
Ce5Ru2Au2
1.0
-4.027 6.422 0.014
-6.396 -4.013 0.981
4.038 2.517 7.070
Ce Ru Au
10 4 4
direct
0.000 0.000 0.000
0.500 0.500 0.000
0.825 0.805 0.251
0.175 0.447 0.251
0.325 0.947 0.251
0.675 0.305 0.251
0.175 0.195 0.749
0.825 0.553 0.749
0.675 0.053 0.749
0.325 0.695 0.749
0.639 0.862 0.000
0.361 0.138 0.000
0.139 0.638 0.000
0.861 0.362 0.000
0.000 0.217 0.433
0.500 0.717 0.433
0.000 0.783 0.567
0.500 0.283 0.567
```

Properties
* volume: 24.45 A^3/atom
* DOS(E_F): 47.4 states/eV per cell

---

Pick model 2: it beats the second-best structure by 74 meV per atom.

---

Model 1:
DFT (GGA-PBE) results for an optimized crystal structure of Ce6RuAu.

Structure (POSCAR):
```
Ce6RuAu
1.0
-2.531 2.531 7.682
2.531 -2.531 7.682
2.531 2.531 -7.682
Ce Ru Au
6 1 1
direct
0.274 0.274 0.000
0.889 0.389 0.500
0.389 0.889 0.500
0.111 0.611 0.500
0.726 0.726 0.000
0.611 0.111 0.500
0.500 0.500 0.000
0.000 0.000 0.000
```

Properties
* volume: 24.60 A^3/atom
* DOS(E_F): 19.3 states/eV per cell

---

Model 2:
DFT (GGA-PBE) results for an optimized crystal structure of Ce6RuAu.

Structure (POSCAR):
```
Ce6RuAu
1.0
6.801 -0.276 -0.631
3.031 6.574 -0.839
2.377 1.439 4.288
Ce Ru Au
6 1 1
direct
0.083 0.346 0.785
0.724 0.044 0.616
0.529 0.213 0.129
0.276 0.956 0.384
0.917 0.654 0.215
0.471 0.787 0.871
0.000 0.000 0.000
0.500 0.500 0.500
```

Properties
* volume: 26.40 A^3/atom
* DOS(E_F): 19.6 states/eV per cell

---

Pick model 1: it beats the second-best structure by 32 meV per atom.